# GGA-PBEsol Ba2InCo, optimized geometry
# ΔH_f (0 K) ... 0.9 eV/f.u.
data_Ba2InCo
_symmetry_space_group_name_H-M 'P 4/m m m'
_symmetry_Int_Tables_number 123
_symmetry_space_group_name_Hall '-P 4 2'
_cell_length_a 3.794
_cell_length_b 3.794
_cell_length_c 8.493
_cell_angle_alpha 90.00
_cell_angle_beta 90.00
_cell_angle_gamma 90.00
loop_
_atom_site_label
_atom_site_type_symbol
_atom_site_fract_x
_atom_site_fract_y
_atom_site_fract_z
Ba1 Ba 0.000 0.000 0.214
In1 In 0.500 0.500 0.500
Co1 Co 0.500 0.500 0.000

# GGA-PBEsol Fe2Sb, optimized geometry
# Formation energy from raw total energies ... 0.316 eV per atom
data_Fe2Sb
_symmetry_space_group_name_H-M 'I 4/m c m'
_symmetry_Int_Tables_number 140
_symmetry_space_group_name_Hall '-I 4 2c'
_cell_length_a 4.751
_cell_length_b 4.751
_cell_length_c 8.151
_cell_angle_alpha 90.00
_cell_angle_beta 90.00
_cell_angle_gamma 90.00
loop_
_atom_site_label
_atom_site_type_symbol
_atom_site_fract_x
_atom_site_fract_y
_atom_site_fract_z
Fe1 Fe 0.202 0.298 0.000
Sb1 Sb 0.000 0.000 0.250

# GGA-PBEsol BeRe2Sn, optimized geometry
# ΔH_f (0 K) ... 2.5 eV/f.u.
data_BeRe2Sn
_symmetry_space_group_name_H-M 'F m -3 m'
_symmetry_Int_Tables_number 225
_symmetry_space_group_name_Hall '-F 4 2 3'
_cell_length_a 6.140
_cell_length_b 6.140
_cell_length_c 6.140
_cell_angle_alpha 90.00
_cell_angle_beta 90.00
_cell_angle_gamma 90.00
loop_
_atom_site_label
_atom_site_type_symbol
_atom_site_fract_x
_atom_site_fract_y
_atom_site_fract_z
Be1 Be 0.000 0.000 0.000
Re1 Re 0.250 0.250 0.250
Sn1 Sn 0.000 0.000 0.500

# GGA-PBEsol ZnMoCl2, optimized geometry
# Polymorph energy (0 for the lowest one) ... 222 meV/atom
# Formation energy from raw total energies ... 0.076 eV per atom
data_ZnMoCl2
_symmetry_space_group_name_H-M 'R -3 m'
_symmetry_Int_Tables_number 166
_symmetry_space_group_name_Hall '-R 3 2"'
_cell_length_a 2.9771
_cell_length_b 2.9771
_cell_length_c 28.8602
_cell_angle_alpha 90.00
_cell_angle_beta 90.00
_cell_angle_gamma 120.00
loop_
_atom_site_label
_atom_site_type_symbol
_atom_site_fract_x
_atom_site_fract_y
_atom_site_fract_z
Zn1 Zn 0.0000 0.0000 0.0000
Mo1 Mo 0.0000 0.0000 0.5000
Cl1 Cl 0.0000 0.0000 0.4224

Number 1: electronic total energy -14.07 eV/cell, magnetic moment 1.21 μB per formula unit. Number 2: electronic total energy -86.14 eV/cell, magnetic moment 3.93 μB per formula unit. Number 3: electronic total energy -129.81 eV/cell, magnetic moment 0.00 μB per formula unit. Number 4: electronic total energy -51.18 eV/cell, magnetic moment 0.00 μB per formula unit.